No. 1
Crystalline CsAl3C at its relaxed geometry. Source: Alexandria via LeMat-Bulk, functional PBE.

Unit cell a=6.3576 b=6.3576 c=6.3576 alpha=90.00 beta=90.00 gamma=90.00
Fractional coordinates of all 5 atoms:
1 Cs 0.0000 0.0000 0.0000
2 C 0.5000 0.5000 0.5000
3 Al 0.0000 0.5000 0.0000
4 Al 0.5000 0.0000 0.0000
5 Al 0.0000 0.0000 0.5000

Computed properties:
- offset from the most stable computed form (meV per atom) = 1791.3
- DOS at the Fermi energy (states/eV/atom) = 1.27
- energy of formation from the pure elements (meV/atom) = 2949.1
- mass density (kg/m3) = 1460


No. 2
Crystalline PrHoPb at its relaxed geometry. Source: Alexandria via LeMat-Bulk, functional PBE.

Unit cell a=5.5509 b=5.5509 c=6.6951 alpha=90.00 beta=90.00 gamma=120.00
Fractional coordinates of all 6 atoms:
1 Pr 0.0000 0.0000 0.0000
2 Pr 0.0000 0.0000 0.5000
3 Pb 0.6667 0.3333 0.7500
4 Pb 0.3333 0.6667 0.2500
5 Ho 0.6667 0.3333 0.2500
6 Ho 0.3333 0.6667 0.7500

Computed properties:
- offset from the most stable computed form (meV per atom) = 41.3
- DOS at the Fermi energy (states/eV/atom) = 1.28
- energy of formation from the pure elements (meV/atom) = -422.5
- mass density (kg/m3) = 9537


| no. | magnetization (μB/atom) |
| --- | --- |
| 1 | 0.2320 |
| 2 | 0.0398 |